Here is crystalline GaNi2PbI at its relaxed geometry from the Alexandria database. Energies are from GGA-PBE.

Formation energy from raw total energies ... 0.600 eV per atom

```
GaNi2PbI
1.0
4.5675 0.0000 0.0000
0.0000 4.5675 0.0000
0.0000 0.0000 6.0188
Ga Ni Pb I
1 2 1 1
direct
0.0000 0.0000 0.0000 Ga
0.0000 0.5000 0.0000 Ni
0.5000 0.0000 0.0000 Ni
0.5000 0.5000 0.5000 Pb
0.0000 0.0000 0.5000 I
```

***

Here is crystalline Pm4GaNiI2 at its relaxed geometry from the Alexandria database. Energies are from GGA-PBE.

Formation energy from raw total energies ... -0.678 eV per atom

```
Pm4GaNiI2
1.0
7.6115 0.0000 0.0000
0.0000 4.0611 0.0000
-2.2923 0.0000 7.8582
Pm Ga Ni I
4 1 1 2
direct
0.2138 0.0000 0.1849 Pm
0.2494 0.5000 0.7949 Pm
0.7506 0.5000 0.2051 Pm
0.7862 0.0000 0.8151 Pm
0.5000 0.0000 0.0000 Ga
0.0000 0.5000 0.0000 Ni
0.0000 0.0000 0.5000 I
0.5000 0.5000 0.5000 I
```

***

Here is crystalline Pm6GaNi2I3 at its relaxed geometry from the Alexandria database. Energies are from GGA-PBE.

Formation energy from raw total energies ... -0.662 eV per atom

```
Pm6GaNi2I3
1.0
3.6385 -6.2230 0.0000
3.6385 6.2230 0.0000
-2.4055 0.0000 7.9296
Pm Ga Ni I
6 1 2 3
direct
0.0799 0.4330 0.8038 Pm
0.2087 0.2087 0.1896 Pm
0.4330 0.0799 0.8038 Pm
0.5670 0.9201 0.1962 Pm
0.7913 0.7913 0.8104 Pm
0.9201 0.5670 0.1962 Pm
0.5000 0.5000 0.0000 Ga
0.1694 0.8306 0.0000 Ni
0.8306 0.1694 0.0000 Ni
0.0000 0.0000 0.5000 I
0.3400 0.6600 0.5000 I
0.6600 0.3400 0.5000 I
```

***

Here is crystalline Pr6GaNi2I3 at its relaxed geometry from the Alexandria database. Energies are from GGA-PBE.

Formation energy from raw total energies ... -0.657 eV per atom

```
Pr6GaNi2I3
1.0
3.7169 -6.2809 0.0000
3.7169 6.2809 0.0000
-2.4262 0.0000 8.0182
Pr Ga Ni I
6 1 2 3
direct
0.0805 0.4331 0.8016 Pr
0.2088 0.2088 0.1891 Pr
0.4331 0.0805 0.8016 Pr
0.5669 0.9195 0.1984 Pr
0.7912 0.7912 0.8109 Pr
0.9195 0.5669 0.1984 Pr
0.5000 0.5000 0.0000 Ga
0.1700 0.8300 0.0000 Ni
0.8300 0.1700 0.0000 Ni
0.0000 0.0000 0.5000 I
0.3406 0.6594 0.5000 I
0.6594 0.3406 0.5000 I
```

***

Here is crystalline Pr4GaNiI2 at its relaxed geometry from the Alexandria database. Energies are from GGA-PBE.

Formation energy from raw total energies ... -0.680 eV per atom

```
Pr4GaNiI2
1.0
7.7493 0.0000 0.0000
0.0000 4.1035 0.0000
-2.2946 0.0000 7.9572
Pr Ga Ni I
4 1 1 2
direct
0.2141 0.0000 0.1858 Pr
0.2519 0.5000 0.7919 Pr
0.7481 0.5000 0.2081 Pr
0.7859 0.0000 0.8142 Pr
0.5000 0.0000 0.0000 Ga
0.0000 0.5000 0.0000 Ni
0.0000 0.0000 0.5000 I
0.5000 0.5000 0.5000 I
```

***

Here is crystalline GaNiSbI2 at its relaxed geometry from the Alexandria database. Energies are from GGA-PBE.

Formation energy from raw total energies ... 0.852 eV per atom
Energy above the lowest structure with this stoichiometry ... 670 meV/atom

```
GaNiSbI2
1.0
5.5799 0.0000 0.0000
0.0000 5.5799 0.0000
0.0000 0.0000 5.4378
Ga Ni Sb I
1 1 1 2
direct
0.0000 0.0000 0.0000 Ga
0.5000 0.5000 0.5000 Ni
0.0000 0.0000 0.5000 Sb
0.0000 0.5000 0.0000 I
0.5000 0.0000 0.0000 I
```

***

Here is crystalline GaNiSbI2 at its relaxed geometry from the Alexandria database. Energies are from GGA-PBE.

Formation energy from raw total energies ... 0.182 eV per atom
Energy above the lowest structure with this stoichiometry ... 0 meV/atom

```
GaNiSbI2
1.0
5.5810 0.0000 0.0000
0.0000 5.5810 0.0000
0.0000 0.0000 4.8211
Ga Ni Sb I
1 1 1 2
direct
0.0000 0.0000 0.0000 Ga
0.5000 0.5000 0.5000 Ni
0.5000 0.5000 0.0000 Sb
0.0000 0.5000 0.5000 I
0.5000 0.0000 0.5000 I
```

***

Here is crystalline Sm8Ga3NiI4 at its relaxed geometry from the Alexandria database. Energies are from GGA-PBE.

Formation energy from raw total energies ... -0.699 eV per atom

```
Sm8Ga3NiI4
1.0
7.4127 -4.2361 0.0000
7.4127 4.2361 0.0000
-4.9758 0.0000 7.6813
Sm Ga Ni I
8 3 1 4
direct
0.2241 0.7499 0.6984 Sm
0.2258 0.2258 0.7010 Sm
0.2501 0.7759 0.3016 Sm
0.2619 0.2619 0.2848 Sm
0.7381 0.7381 0.7152 Sm
0.7499 0.2241 0.6984 Sm
0.7742 0.7742 0.2990 Sm
0.7759 0.2501 0.3016 Sm
0.0000 0.5000 0.5000 Ga
0.5000 0.0000 0.5000 Ga
0.5000 0.5000 0.5000 Ga
0.0000 0.0000 0.5000 Ni
0.0000 0.0000 0.0000 I
0.0000 0.5000 0.0000 I
0.5000 0.0000 0.0000 I
0.5000 0.5000 0.0000 I
```

***

Here is crystalline GaTcNi2I at its relaxed geometry from the Alexandria database. Energies are from GGA-PBE.

Formation energy from raw total energies ... 1.555 eV per atom

```
GaTcNi2I
1.0
4.5237 0.0000 0.0000
0.0000 4.5237 0.0000
0.0000 0.0000 5.7732
Ga Tc Ni I
1 1 2 1
direct
0.0000 0.0000 0.0000 Ga
0.5000 0.5000 0.0000 Tc
0.0000 0.5000 0.5000 Ni
0.5000 0.0000 0.5000 Ni
0.0000 0.0000 0.5000 I
```

***

Here is crystalline GaNiTeI2 at its relaxed geometry from the Alexandria database. Energies are from GGA-PBE.

Formation energy from raw total energies ... 0.100 eV per atom
Energy above the lowest structure with this stoichiometry ... 0 meV/atom

```
GaNiTeI2
1.0
5.4613 0.0000 0.0000
0.0000 5.4613 0.0000
0.0000 0.0000 5.0027
Ga Ni Te I
1 1 1 2
direct
0.0000 0.0000 0.0000 Ga
0.5000 0.5000 0.5000 Ni
0.5000 0.5000 0.0000 Te
0.0000 0.5000 0.5000 I
0.5000 0.0000 0.5000 I
```

***

Here is crystalline GaNiTeI2 at its relaxed geometry from the Alexandria database. Energies are from GGA-PBE.

Formation energy from raw total energies ... 0.707 eV per atom
Energy above the lowest structure with this stoichiometry ... 607 meV/atom

```
GaNiTeI2
1.0
5.5559 0.0000 0.0000
0.0000 5.5559 0.0000
0.0000 0.0000 5.5245
Ga Ni Te I
1 1 1 2
direct
0.0000 0.0000 0.0000 Ga
0.5000 0.5000 0.5000 Ni
0.0000 0.0000 0.5000 Te
0.0000 0.5000 0.0000 I
0.5000 0.0000 0.0000 I
```

***

Here is crystalline NpGaI5 at its relaxed geometry from the Alexandria database. Energies are from GGA-PBE.

Formation energy from raw total energies ... -0.606 eV per atom

```
NpGaI5
1.0
5.8769 -5.7014 0.0000
5.8769 5.7014 0.0000
-5.3516 0.0000 10.6012
Np Ga I
2 2 10
direct
0.0000 0.5000 0.0000 Np
0.5000 0.0000 0.5000 Np
0.0682 0.9318 0.7500 Ga
0.9318 0.0682 0.2500 Ga
0.1772 0.6253 0.8567 I
0.2286 0.7714 0.2500 I
0.2327 0.2509 0.5191 I
0.2509 0.2327 0.0191 I
0.3747 0.8228 0.6433 I
0.6253 0.1772 0.3567 I
0.7491 0.7673 0.9809 I
0.7673 0.7491 0.4809 I
0.7714 0.2286 0.7500 I
0.8228 0.3747 0.1433 I
```

***

Listing calculated volume for the structures above in their given order: 125.6; 242.9; 359.1; 374.4; 253.0; 169.3; 150.2; 482.4; 118.1; 149.2; 170.5; 710.4 Å³ per cell.